1.
Density functional theory data (GGA-PBE) for crystalline LiSn3Au at its relaxed geometry.

a = 4.959 Å, b = 4.959 Å, c = 4.959 Å
α = 90.00°, β = 90.00°, γ = 90.00°
Space group Pm-3m (No. 221)
One atom of each set of equivalent atoms:
Li  0.000  0.000  0.000 [1 per cell]
Sn  0.000  0.000  0.500 [3 per cell]
Au  0.500  0.500  0.500 [1 per cell]


2.
Density functional theory data (GGA-PBE) for crystalline Li2Sn2Au3 at its relaxed geometry.

a = 5.261 Å, b = 7.384 Å, c = 7.237 Å
α = 90.00°, β = 96.88°, γ = 90.00°
Space group P2_1/c (No. 14)
One atom of each set of equivalent atoms:
Li  0.065  0.187  0.004 [4 per cell]
Sn  0.369  0.644  0.840 [4 per cell]
Au  0.122  0.508  0.188 [4 per cell]
Au  0.500  0.000  0.000 [2 per cell]


3.
Density functional theory data (GGA-PBE) for crystalline Li2SnAu2 at its relaxed geometry.

a = 7.593 Å, b = 7.593 Å, c = 3.045 Å
α = 90.00°, β = 90.00°, γ = 90.00°
Space group P4/mbm (No. 127)
One atom of each set of equivalent atoms:
Li  0.135  0.365  0.000 [4 per cell]
Sn  0.000  0.000  0.000 [2 per cell]
Au  0.156  0.656  0.500 [4 per cell]


no.,energy of formation from the pure elements (meV per atom)
1,255
2,-373
3,-384